Crystalline PmNd2Co at its relaxed geometry. Source: the Alexandria database, functional PBE-GGA.

Unit cell a=6.4065 b=7.1075 c=9.9141 alpha=90.00 beta=90.00 gamma=90.00
Positions (direct):
Co  0.5577  0.1162  0.7500
Co  0.4423  0.8838  0.2500
Co  0.9423  0.6162  0.7500
Co  0.0577  0.3838  0.2500
Nd  0.6759  0.8290  0.5702
Nd  0.3241  0.1710  0.0702
Nd  0.8241  0.3290  0.5702
Nd  0.3241  0.1710  0.4298
Nd  0.6759  0.8290  0.9298
Nd  0.1759  0.6710  0.4298
Nd  0.1759  0.6710  0.0702
Nd  0.8241  0.3290  0.9298
Pm  0.8499  0.0451  0.2500
Pm  0.1501  0.9549  0.7500
Pm  0.3499  0.4549  0.7500
Pm  0.6501  0.5451  0.2500

Values from the calculation:
The value obtained for the magnetization is 0.000 μB/atom. As for the symmetry: Pnma. The offset from the most stable computed form comes out at 0 meV per atom. The energy of formation comes out at -26 kJ/mol of formula units.